Here is crystalline BaLiVF6 at its relaxed geometry from the Alexandria database. Energies are from PBE+U.

Output
- Density of states at the Fermi level: 0.00 states/eV/atom
- Total DFT energy (no corrections): -51.86 eV per formula unit

Cell lengths 5.3808, 9.3450, 5.6371 Å; angles 90.00, 90.08, 90.00 degrees
Closest atoms and distances in Å follow each position.
Space group C2 (No. 5)
Unique sites:
Ba1 0.0000 0.0000 0.0000 x2  6 F 2.63
Li1 0.0000 0.3337 0.5000 x2  6 F 2.10
V1 0.0000 0.6666 0.5000 x2  6 F 1.98
F1 0.1252 0.5082 0.2992 x4  1 V 1.98, 1 Li 2.10
F2 0.1738 0.8097 0.3002 x4  1 V 1.98, 1 Li 2.10
F3 0.1983 0.1828 0.3007 x4  1 V 1.98, 1 Li 2.10